! ZnCd2Bi | Alexandria | PBE | optimized geometry; values from VASP
! - E_tot (eV per formula unit) = -6.41
! - space group = P4/mmm
&SYSTEM
  ibrav = 0, nat = 4, ntyp = 3
/
ATOMIC_SPECIES
Bi 208.98 Bi.upf
Zn 65.41 Zn.upf
Cd 112.41 Cd.upf
CELL_PARAMETERS angstrom
-3.4434 2.8040 -0.0298
-1.2382 -1.4754 4.2355
2.6645 3.2925 1.9259
ATOMIC_POSITIONS angstrom
Bi -1.0085 2.3106 3.0658
Zn -1.7217 1.4020 -0.0149
Cd 1.3322 1.6463 0.9629
Cd -0.6191 -0.7377 2.1177